PuHf2PaAs4 | GGA-PBE | optimized geometry

a b c (Å): 6.8490 3.9736 6.8820
angles (deg): 90.00 109.54 90.00
With the nearest neighbours (Å) after each atom.
Positions (direct):
Pu (0.0000, 0.0000, 0.0000)  6 As 2.87-2.88
Hf (0.5000, 0.0000, 0.5000)  6 As 2.73-2.74
Hf (0.5000, 0.5000, 0.0000)  6 As 2.74
Pa (0.0000, 0.5000, 0.5000)  6 As 2.87
As (0.2677, 0.5000, 0.2566)  3 Hf 2.74, 1 Pa 2.87, 2 Pu 2.87
As (0.2686, 0.0000, 0.7556)  3 Hf 2.73-2.74, 2 Pa 2.87, 1 Pu 2.88
As (0.7314, 0.0000, 0.2444)  3 Hf 2.73-2.74, 2 Pa 2.87, 1 Pu 2.88
As (0.7323, 0.5000, 0.7434)  3 Hf 2.74, 1 Pa 2.87, 2 Pu 2.87

## Properties
Magnetic moment: 5.32 μB/f.u.
Energy of formation from the pure elements: -8.4 eV/f.u.
N(E_F): 11.45 states/eV per cell

=====

CePrSeN | GGA-PBE | optimized geometry

a b c (Å): 14.5737 14.5737 14.5737
angles (deg): 15.36 15.36 15.36
With the nearest neighbours (Å) after each atom.
Positions (direct):
Ce (0.0000, 0.0000, 0.0000)  6 Se 2.92
Ce (0.5000, 0.5000, 0.5000)  6 N 2.49
Pr (0.2429, 0.2429, 0.2429)  1 N 2.24
Pr (0.7571, 0.7571, 0.7571)  1 N 2.24
Se (0.3765, 0.3765, 0.3765)  3 Ce 2.92, 3 Pr 3.04
Se (0.6235, 0.6235, 0.6235)  3 Ce 2.92, 3 Pr 3.04
N (0.1911, 0.1911, 0.1911)  1 Pr 2.24, 3 Ce 2.49
N (0.8089, 0.8089, 0.8089)  1 Pr 2.24, 3 Ce 2.49

## Properties
Magnetic moment: 0.40 μB/f.u.
Raw formation energy: -1374 meV per atom
N(E_F): 6.40 states/eV per cell

=====

ThNpSb2 | GGA-PBE | optimized geometry

a b c (Å): 4.4676 4.4676 6.3165
angles (deg): 90.07 90.07 90.00
With the nearest neighbours (Å) after each atom.
Positions (direct):
Th (0.0000, 0.0000, 0.0000)  6 Sb 3.16
Np (0.5000, 0.5000, 0.5000)  6 Sb 3.16
Sb (0.0000, 0.0000, 0.5000)  2 Th 3.16, 4 Np 3.16
Sb (0.5000, 0.5000, 0.0000)  2 Np 3.16, 4 Th 3.16

## Properties
Magnetic moment: 4.31 μB/f.u.
Energy above the most stable polymorph in this dataset: 5.4 meV per atom
Raw formation energy: -566 meV per atom
N(E_F): 11.57 states/eV per cell

=====

B4C | GGA-PBE | optimized geometry

a b c (Å): 7.3447 7.3447 4.5411
angles (deg): 98.01 98.01 20.93
With the nearest neighbours (Å) after each atom.
Positions (direct):
B (0.0392, 0.0392, 0.1545)  4 B 1.67-1.80
B (0.0908, 0.0908, 0.8167)  2 C 1.56
B (0.2803, 0.2803, 0.4386)  1 C 1.52
B (0.4176, 0.4176, 0.6302)  1 C 1.59, 2 B 1.72
B (0.5824, 0.5824, 0.3698)  1 C 1.59, 2 B 1.72
B (0.7197, 0.7197, 0.5614)  1 C 1.52
B (0.9092, 0.9092, 0.1833)  2 C 1.56
B (0.9608, 0.9608, 0.8455)  4 B 1.67-1.80
C (0.3690, 0.3690, 0.2933)  4 B 1.52-1.59
C (0.6310, 0.6310, 0.7067)  4 B 1.52-1.59

## Properties
Magnetic moment: 0.00 μB/f.u.
Energy of formation from the pure elements: 1.8 eV/f.u.
Energy above the most stable polymorph in this dataset: 471.2 meV per atom
N(E_F): 1.32 states/eV per cell

=====

Nd2I4Br | GGA-PBE | optimized geometry

a b c (Å): 11.0135 11.0135 4.0536
angles (deg): 90.00 90.00 90.00
With the nearest neighbours (Å) after each atom.
Positions (direct):
Nd (0.1698, 0.1698, 0.0000)  6 I 3.25-3.44, 2 Br 3.33
Nd (0.3302, 0.6698, 0.5000)  6 I 3.25-3.44, 2 Br 3.33
Nd (0.6698, 0.3302, 0.5000)  6 I 3.25-3.44, 2 Br 3.33
Nd (0.8302, 0.8302, 0.0000)  6 I 3.25-3.44, 2 Br 3.33
I (0.1000, 0.6729, 0.0000)  3 Nd 3.25-3.44, 1 I 3.54
I (0.1729, 0.4000, 0.5000)  3 Nd 3.25-3.44, 1 I 3.54
I (0.3271, 0.9000, 0.0000)  3 Nd 3.25-3.44, 1 I 3.54
I (0.4000, 0.1729, 0.5000)  3 Nd 3.25-3.44, 1 I 3.54
I (0.6000, 0.8271, 0.5000)  3 Nd 3.25-3.44, 1 I 3.54
I (0.6729, 0.1000, 0.0000)  3 Nd 3.25-3.44, 1 I 3.54
I (0.8271, 0.6000, 0.5000)  3 Nd 3.25-3.44, 1 I 3.54
I (0.9000, 0.3271, 0.0000)  3 Nd 3.25-3.44, 1 I 3.54
Br (0.0000, 0.0000, 0.5000)  4 Nd 3.33
Br (0.5000, 0.5000, 0.0000)  4 Nd 3.33

## Properties
Magnetic moment: 0.00 μB/f.u.
Raw formation energy: -1222 meV per atom
N(E_F): 4.20 states/eV per cell

=====

Number 4 is which compound?
B4C